No. 1
The following is a DFT calculation (GGA-PBE) of a relaxed Ce2PmPa crystal. Values from VASP.

Output
The value obtained for the spin magnetization is 0.0002 μB per atom. The value obtained for the formation energy is 365 meV/atom. The value obtained for the energy relative to the lowest polymorph listed for this composition is 280 meV/atom. As for the density of states at the Fermi level: 3.437 states/eV/atom. The mass density is 9.77 g/cm3. The total energy comes out at -24.7 eV per cell.

Quantum ESPRESSO input file:
```
&SYSTEM
  ibrav = 0, nat = 4, ntyp = 3
/
ATOMIC_SPECIES
Pa 231.04 Pa.upf
Ce 140.12 Ce.upf
Pm 145.00 Pm.upf
CELL_PARAMETERS angstrom
-3.5189 -1.2210 3.9138
0.7529 -4.4090 3.0307
1.4434 0.4985 5.1826
ATOMIC_POSITIONS angstrom
Pa -0.6613 -2.5658 6.0636
Ce -0.3307 -1.2829 3.0318
Ce -0.9920 -3.8487 9.0954
Pm 0.0000 0.0000 0.0000
```

=====

No. 2
The following is a DFT calculation (GGA-PBE) of a relaxed BaTl10Cd2 crystal. Values from VASP.

Output
The value obtained for the spin magnetization is 0.0000 μB per atom. The value obtained for the formation energy is -73 meV/atom. As for the density of states at the Fermi level: 0.484 states/eV/atom. The mass density is 9.88 g/cm3. The total energy comes out at -28.4 eV per cell.

Quantum ESPRESSO input file:
```
&SYSTEM
  ibrav = 0, nat = 13, ntyp = 3
/
ATOMIC_SPECIES
Ba 137.33 Ba.upf
Tl 204.38 Tl.upf
Cd 112.41 Cd.upf
CELL_PARAMETERS angstrom
6.2877 0.0000 0.0000
3.1438 7.9867 0.0000
3.1438 0.0000 8.0539
ATOMIC_POSITIONS angstrom
Ba 0.0000 0.0000 0.0000
Tl 6.2877 5.0880 5.2424
Tl 6.2877 2.8988 2.8115
Tl 9.4315 2.8988 5.2424
Tl 3.1438 5.0880 2.8115
Tl 1.5719 0.0000 4.0270
Tl 4.7158 0.0000 4.0270
Tl 3.1438 1.7317 1.6494
Tl 9.4315 6.2550 6.4045
Tl 6.2877 6.2550 1.6494
Tl 6.2877 1.7317 6.4045
Cd 1.5719 3.9934 0.0000
Cd 4.7158 3.9934 0.0000
```

=====

Q: The highest spin magnetization belongs to which entry?
A: Ce2PmPa

=====

Q: spin magnetization of number 1 (Ce2PmPa)?
A: 0.0002 μB per atom